A plane-wave DFT calculation with PBE was carried out for a relaxed structure of Li2ZnInP.

Structure (CIF):
```
data_Li2ZnInP
_chemical_formula_sum 'Li2 Zn1 In1 P1'
_cell_length_a 4.699
_cell_length_b 4.699
_cell_length_c 4.915
_cell_angle_alpha 90.00
_cell_angle_beta 90.00
_cell_angle_gamma 90.00
_symmetry_space_group_name_H-M 'P 4/m m m'
_symmetry_Int_Tables_number 123
_symmetry_space_group_name_Hall '-P 4 2'
loop_
_atom_site_label
_atom_site_fract_x
_atom_site_fract_y
_atom_site_fract_z
_atom_site_occupancy
Li1 0.000 0.500 0.000 1
Zn1 0.000 0.000 0.000 1
In1 0.000 0.000 0.500 1
P1 0.500 0.500 0.500 1
```

Properties
ΔE_f = 0.33 eV/atom
Fermi-level density of states = 1.33 states/eV/f.u.
offset from the most stable computed form = 0 meV per atom


A plane-wave DFT calculation with PBE was carried out for a relaxed structure of Tb15DyHo4.

Structure (CIF):
```
data_Tb15DyHo4
_chemical_formula_sum 'Tb15 Dy1 Ho4'
_cell_length_a 5.015
_cell_length_b 5.015
_cell_length_c 25.068
_cell_angle_alpha 90.00
_cell_angle_beta 90.00
_cell_angle_gamma 90.00
_symmetry_space_group_name_H-M 'P 4/m m m'
_symmetry_Int_Tables_number 123
_symmetry_space_group_name_Hall '-P 4 2'
loop_
_atom_site_label
_atom_site_fract_x
_atom_site_fract_y
_atom_site_fract_z
_atom_site_occupancy
Tb1 0.000 0.000 0.000 1
Tb2 0.000 0.000 0.200 1
Tb3 0.000 0.000 0.400 1
Tb4 0.000 0.500 0.100 1
Tb5 0.000 0.500 0.300 1
Tb6 0.000 0.500 0.500 1
Dy1 0.500 0.500 0.000 1
Ho1 0.500 0.500 0.200 1
Ho2 0.500 0.500 0.400 1
```

Properties
ΔE_f = 0.02 eV/atom
Fermi-level density of states = 26.38 states/eV/f.u.